Compound: Ac2PmCd
Source: Alexandria via LeMat-Bulk
Functional: PBE
Structure: relaxed

Cell lengths 5.5555, 5.5555, 18.8790 Å; angles 90.00, 90.00, 90.00 degrees
Closest atoms and distances in Å follow each position.
Space group I4/mmm (No. 139)
Unique sites:
Ac  0.0000  0.0000  0.1406  4 Cd 3.46, 4 Ac 3.84
Ac  0.0000  0.5000  0.0000  8 Ac 3.84-3.93, 4 Pm 3.92
Pm  0.0000  0.0000  0.3533  4 Cd 3.39
Cd  0.0000  0.5000  0.2500  4 Pm 3.39, 4 Ac 3.46

Values from the calculation:
- Total magnetization: 0.00 μB/f.u.
- Formation enthalpy at 0 K: -0.13 eV per atom
- Energy above the lowest structure with this stoichiometry: 0.000 eV/atom


Compound: Zr2ScBr
Source: Alexandria via LeMat-Bulk
Functional: PBE
Structure: relaxed

Cell lengths 11.0522, 3.2453, 5.2507 Å; angles 90.00, 105.77, 90.00 degrees
Closest atoms and distances in Å follow each position.
Space group C2/m (No. 12)
Unique sites:
Zr  0.2354  0.0000  0.2430  2 Br 3.04, 6 Zr 3.09-3.25, 3 Sc 3.24-3.30
Sc  0.0000  0.0000  0.5000  4 Br 3.09, 6 Zr 3.24-3.30, 2 Sc 3.25
Br  0.0000  0.5000  0.0000  4 Zr 3.04, 4 Sc 3.09, 2 Br 3.25

Values from the calculation:
- Total magnetization: 0.00 μB/f.u.
- ΔE_f (raw): -5.9 kJ/mol of atoms


Compound: CuPtSe4
Source: Alexandria via LeMat-Bulk
Functional: PBE
Structure: relaxed

Cell lengths 7.8654, 7.8654, 7.8654 Å; angles 90.00, 90.00, 90.00 degrees
Closest atoms and distances in Å follow each position.
Space group F-43m (No. 216)
Unique sites:
Cu  0.0000  0.0000  0.0000  12 Se 3.26, 4 Pt 3.41
Pt  0.2500  0.2500  0.7500  12 Se 3.26, 4 Cu 3.41
Se  0.1242  0.1242  0.3758  6 Se 2.76-2.80

Values from the calculation:
- Total magnetization: 0.00 μB/f.u.
- ΔE_f (raw): 90.4 kJ/mol of atoms


Compound: YScIrRu
Source: Alexandria via LeMat-Bulk
Functional: PBE
Structure: relaxed

Cell lengths 3.3155, 3.3155, 6.6563 Å; angles 90.00, 90.00, 90.00 degrees
Closest atoms and distances in Å follow each position.
Space group P4mm (No. 99)
Unique sites:
Y  0.0000  0.0000  0.0000  4 Ru 2.93, 4 Ir 2.96, 1 Sc 3.26
Sc  0.0000  0.0000  0.4895  4 Ru 2.79, 4 Ir 2.83
Ir  0.5000  0.5000  0.7282  4 Sc 2.83, 4 Y 2.96, 1 Ru 3.10
Ru  0.5000  0.5000  0.2629  4 Sc 2.79, 4 Y 2.93, 1 Ir 3.10

Values from the calculation:
- Total magnetization: 0.00 μB/f.u.
- Formation enthalpy at 0 K: -0.65 eV per atom
- Energy above the lowest structure with this stoichiometry: 0.006 eV/atom


Compound: NaTe2AuN
Source: Alexandria via LeMat-Bulk
Functional: PBE
Structure: relaxed

Cell lengths 5.5398, 5.5398, 4.2435 Å; angles 90.00, 90.00, 90.00 degrees
Closest atoms and distances in Å follow each position.
Space group P4/mmm (No. 123)
Unique sites:
Na  0.0000  0.0000  0.0000  2 N 2.12
Te  0.0000  0.5000  0.0000  2 Na 2.77
Au  0.5000  0.5000  0.5000  8 Te 3.49
N  0.0000  0.0000  0.5000  2 Na 2.12

Values from the calculation:
- Total magnetization: 2.96 μB/f.u.
- Energy above the lowest structure with this stoichiometry: 0.771 eV/atom
- ΔE_f (raw): 126.8 kJ/mol of atoms


Compound: BiSbOs
Source: Alexandria via LeMat-Bulk
Functional: PBE
Structure: relaxed

Cell lengths 13.8621, 3.1513, 7.6825 Å; angles 90.00, 107.73, 90.00 degrees
Closest atoms and distances in Å follow each position.
Space group C2/m (No. 12)
Unique sites:
Bi  0.0262  0.0000  0.2227  2 Os 2.81-2.89
Sb  0.2170  0.0000  0.7110  3 Os 2.65-2.68
Os  0.1713  0.0000  0.0212  3 Sb 2.65-2.68, 2 Os 2.79, 2 Bi 2.81-2.89

Values from the calculation:
- Total magnetization: 0.00 μB/f.u.
- ΔE_f (raw): 31.2 kJ/mol of atoms